VASP calculation (PBE-GGA) on crystalline YZnGa6 at its relaxed geometry.

```
YZnGa6
1.0
-0.068 -3.436 2.840
5.397 1.784 2.287
-0.477 3.897 4.703
Ga Y Zn
6 1 1
direct
0.500 0.500 0.000
0.500 0.000 0.500
0.000 0.701 0.299
0.000 0.786 0.786
0.000 0.214 0.214
0.000 0.299 0.701
0.500 0.000 0.000
0.500 0.500 0.500
```

Values from the calculation:
crystal system: orthorhombic
space-group type: Cmmm (65)
total moment: 0.0000 μB per atom
DFT formation energy: -1.62 eV/f.u.

VASP calculation (PBE-GGA) on crystalline LaPmNd2 at its relaxed geometry.

```
LaPmNd2
1.0
5.215 0.000 0.471
0.000 7.379 0.000
-0.662 0.000 7.323
Pm Nd La
2 4 2
direct
0.000 0.750 0.500
0.000 0.250 0.500
0.500 0.500 0.253
0.500 0.000 0.747
0.500 0.500 0.747
0.500 0.000 0.253
0.000 0.750 0.000
0.000 0.250 0.000
```

Values from the calculation:
crystal system: orthorhombic
space-group type: Pmmm (47)
total moment: 0.0000 μB per atom
excess energy over the best structure of this formula in the dataset: 0.1 kJ per mole of atoms
DFT formation energy: 0.06 eV/f.u.

VASP calculation (PBE-GGA) on crystalline Cs3Np3IrS8 at its relaxed geometry.

```
Cs3Np3IrS8
1.0
-6.139 -2.527 4.294
7.205 0.256 3.202
-4.161 8.418 -1.025
S Np Cs Ir
8 3 3 1
direct
0.208 0.960 0.669
0.792 0.583 0.331
0.208 0.417 0.669
0.249 0.041 0.333
0.792 0.040 0.331
0.751 0.959 0.667
0.272 0.543 0.314
0.728 0.457 0.686
0.000 0.500 0.500
0.500 0.500 0.500
0.500 0.000 0.500
0.000 0.000 0.000
0.500 0.500 0.000
0.000 0.500 0.000
0.000 0.000 0.500
```

Values from the calculation:
crystal system: monoclinic
formation energy from raw total energies: -16.57 eV/f.u.
space-group type: C2/m (12)
total moment: 0.2514 μB per atom

Number 1: D(E_F) 0.355 states/eV/atom. Number 2: D(E_F) 1.729 states/eV/atom. Number 3: D(E_F) 1.469 states/eV/atom.